1.
VASP calculation (PBE) on a relaxed Dy2HfN crystal.

Results
- Uncorrected formation energy: -190 kJ/mol of formula units
- Crystal system: trigonal
- E_tot: -88.37 eV/cell

```
Dy2HfN
1.0
3.3355 0.0000 0.0000
-1.6678 2.8887 0.0000
0.0000 0.0000 27.3342
Dy Hf N
6 3 3
Direct
0.0000 0.0000 0.1170
0.0000 0.0000 0.8830
0.3333 0.6667 0.5497
0.3333 0.6667 0.7836
0.6667 0.3333 0.2164
0.6667 0.3333 0.4503
0.0000 0.0000 0.0000
0.3333 0.6667 0.6667
0.6667 0.3333 0.3333
0.0000 0.0000 0.5000
0.3333 0.6667 0.1667
0.6667 0.3333 0.8333
```


2.
VASP calculation (PBE) on a relaxed InTeSe crystal.

Results
- Uncorrected formation energy: 29 kJ/mol of formula units
- Crystal system: orthorhombic
- E_tot: -36.26 eV/cell

```
InTeSe
1.0
4.2618 0.0000 0.0000
0.0000 4.4229 0.0000
0.0000 0.0000 19.7141
In Te Se
4 4 4
Direct
0.0000 0.0000 0.0000
0.0000 0.5000 0.5000
0.5000 0.0000 0.5000
0.5000 0.5000 0.0000
0.0000 0.0000 0.6787
0.0000 0.5000 0.1787
0.5000 0.0000 0.1787
0.5000 0.5000 0.6787
0.0000 0.0000 0.3840
0.0000 0.5000 0.8840
0.5000 0.0000 0.8840
0.5000 0.5000 0.3840
```


3.
VASP calculation (PBE) on a relaxed FeBi2Au crystal.

Results
- Energy relative to the elements: 597.7 meV per atom
- Crystal system: tetragonal
- E_tot: -68.44 eV/cell

```
FeBi2Au
1.0
6.3141 0.0000 0.0000
0.0000 6.3141 0.0000
0.0000 0.0000 11.7203
Fe Bi Au
4 8 4
Direct
0.0000 0.0000 0.0000
0.0000 0.5000 0.2500
0.5000 0.0000 0.7500
0.5000 0.5000 0.5000
0.2040 0.2500 0.1250
0.2500 0.7040 0.3750
0.2500 0.7960 0.8750
0.2960 0.2500 0.6250
0.7040 0.7500 0.6250
0.7500 0.2040 0.8750
0.7500 0.2960 0.3750
0.7960 0.7500 0.1250
0.0000 0.0000 0.5000
0.0000 0.5000 0.7500
0.5000 0.0000 0.2500
0.5000 0.5000 0.0000
```


4.
VASP calculation (PBE) on a relaxed Hf3Be2Ni5 crystal.

Results
- Energy relative to the elements: -494.7 meV per atom
- Crystal system: tetragonal
- E_tot: -142.33 eV/cell

```
Hf3Be2Ni5
1.0
8.8546 0.0000 0.0000
0.0000 8.8546 0.0000
0.0000 0.0000 3.3586
Hf Be Ni
6 4 10
Direct
0.0000 0.0000 0.0000
0.1769 0.3231 0.0000
0.3231 0.8231 0.0000
0.5000 0.5000 0.0000
0.6769 0.1769 0.0000
0.8231 0.6769 0.0000
0.1160 0.6160 0.0000
0.3840 0.1160 0.0000
0.6160 0.8840 0.0000
0.8840 0.3840 0.0000
0.0000 0.5000 0.5000
0.0671 0.7791 0.5000
0.2209 0.0671 0.5000
0.2791 0.5671 0.5000
0.4329 0.2791 0.5000
0.5000 0.0000 0.5000
0.5671 0.7209 0.5000
0.7209 0.4329 0.5000
0.7791 0.9329 0.5000
0.9329 0.2209 0.5000
```


5.
VASP calculation (PBE) on a relaxed BaLiTc2 crystal.

Results
- Energy relative to the elements: 1135.2 meV per atom
- Crystal system: tetragonal
- E_tot: -20.03 eV/cell

```
BaLiTc2
1.0
2.8053 0.0000 0.0000
0.0000 2.8053 0.0000
0.0000 0.0000 9.8705
Ba Li Tc
1 1 2
Direct
0.0000 0.0000 0.0000
0.0000 0.0000 0.5000
0.5000 0.5000 0.2885
0.5000 0.5000 0.7115
```


6.
VASP calculation (PBE) on a relaxed PaAlSi4 crystal.

Results
- Uncorrected formation energy: -50 kJ/mol of formula units
- Crystal system: cubic
- E_tot: -35.44 eV/cell

```
PaAlSi4
1.0
0.0000 3.6665 3.6665
3.6665 0.0000 3.6665
3.6665 3.6665 0.0000
Pa Al Si
1 1 4
Direct
0.0000 0.0000 0.0000
0.7500 0.7500 0.7500
0.3773 0.3773 0.3773
0.3773 0.3773 0.8681
0.3773 0.8681 0.3773
0.8681 0.3773 0.3773
```


7.
VASP calculation (PBE) on a relaxed Tl2CrSe crystal.

Results
- Uncorrected formation energy: 101 kJ/mol of formula units
- Crystal system: tetragonal
- E_tot: -67.16 eV/cell

```
Tl2CrSe
1.0
8.3669 0.0000 0.0000
0.0000 8.3669 0.0000
0.0000 0.0000 6.0079
Tl Cr Se
8 4 4
Direct
0.2476 0.2500 0.1250
0.2500 0.7476 0.3750
0.2500 0.7524 0.8750
0.2524 0.2500 0.6250
0.7476 0.7500 0.6250
0.7500 0.2476 0.8750
0.7500 0.2524 0.3750
0.7524 0.7500 0.1250
0.0000 0.0000 0.0000
0.0000 0.5000 0.2500
0.5000 0.0000 0.7500
0.5000 0.5000 0.5000
0.0000 0.0000 0.5000
0.0000 0.5000 0.7500
0.5000 0.0000 0.2500
0.5000 0.5000 0.0000
```


8.
VASP calculation (PBE) on a relaxed DyLuAg2 crystal.

Results
- Energy relative to the elements: -326.8 meV per atom
- Crystal system: cubic
- E_tot: -64.53 eV/cell

```
DyLuAg2
1.0
7.2022 0.0000 0.0000
0.0000 7.2022 0.0000
0.0000 0.0000 7.2022
Dy Lu Ag
4 4 8
Direct
0.0000 0.0000 0.0000
0.0000 0.5000 0.5000
0.5000 0.0000 0.5000
0.5000 0.5000 0.0000
0.0000 0.0000 0.5000
0.0000 0.5000 0.0000
0.5000 0.0000 0.0000
0.5000 0.5000 0.5000
0.2500 0.2500 0.2500
0.2500 0.2500 0.7500
0.2500 0.7500 0.2500
0.2500 0.7500 0.7500
0.7500 0.2500 0.2500
0.7500 0.2500 0.7500
0.7500 0.7500 0.2500
0.7500 0.7500 0.7500
```